Record 1
Material: NaBeGa3
Method: DFT, PBE
State: optimized geometry

The value obtained for the density of states at the Fermi level is 3.645 states/eV/cell. The value obtained for the calculated formation energy is 160 meV per atom. The calculation puts the energy above the most stable polymorph in this dataset at 0 meV per atom. Its density is 4.04 g cm⁻³.

The space group is Pm-3m (No. 221) and the conventional cell measures 4.628, 4.628 and 4.628 Å, with angles of 90.00, 90.00 and 90.00 degrees. The inequivalent atoms are Na at (0.000, 0.000, 0.000), Be at (0.500, 0.500, 0.500) and Ga at (0.000, 0.500, 0.500).

Record 2
Material: Pa2CuSi3Rh4
Method: DFT, PBE
State: optimized geometry

The value obtained for the density of states at the Fermi level is 9.570 states/eV/cell. Its density is 10.16 g cm⁻³. The energy relative to the elements, uncorrected comes out at -0.84 eV per atom.

The space group is P-4m2 (No. 115) and the conventional cell measures 4.040, 4.040 and 10.228 Å, with angles of 90.00, 90.00 and 90.00 degrees. The inequivalent atoms are Pa at (0.000, 0.500, 0.245), Cu at (0.500, 0.500, 0.000), Si at (0.000, 0.000, 0.000), Si at (0.000, 0.500, 0.629), Rh at (0.000, 0.000, 0.500), Rh at (0.000, 0.500, 0.858) and Rh at (0.500, 0.500, 0.500).

Record 3
Material: LaHg4F12
Method: DFT, PBE
State: optimized geometry

The value obtained for the density of states at the Fermi level is 9.778 states/eV/cell. Its density is 5.64 g cm⁻³. The energy relative to the elements, uncorrected comes out at -1.96 eV per atom.

The space group is I4/mmm (No. 139) and the conventional cell measures 9.012, 9.012 and 8.476 Å, with angles of 90.00, 90.00 and 90.00 degrees. The inequivalent atoms are La at (0.000, 0.000, 0.000), Hg at (0.250, 0.250, 0.250), F at (0.000, 0.218, 0.174) and F at (0.208, 0.208, 0.500).

Record 4
Material: Zn2OsN
Method: DFT, PBE
State: optimized geometry

The value obtained for the density of states at the Fermi level is 8.661 states/eV/cell. Its density is 10.51 g cm⁻³. The energy relative to the elements, uncorrected comes out at 0.74 eV per atom.

The space group is R-3m (No. 166, hexagonal axes) and the conventional cell measures 2.8376, 2.8376 and 22.7774 Å, with angles of 90.00, 90.00 and 120.00 degrees. The inequivalent atoms are Zn at (0.0000, 0.0000, 0.1124), Os at (0.0000, 0.0000, 0.0000) and N at (0.0000, 0.0000, 0.5000).

Record 5
Material: BaZrPCl2
Method: DFT, PBE
State: optimized geometry

The value obtained for the density of states at the Fermi level is 4.471 states/eV/cell. The calculation puts the energy above the most stable polymorph in this dataset at 1440 meV per atom. Its density is 2.81 g cm⁻³. The energy relative to the elements, uncorrected comes out at 0.03 eV per atom.

The space group is P4/mmm (No. 123) and the conventional cell measures 5.611, 5.611 and 6.193 Å, with angles of 90.00, 90.00 and 90.00 degrees. The inequivalent atoms are Ba at (0.000, 0.000, 0.000), Zr at (0.500, 0.500, 0.500), P at (0.000, 0.000, 0.500) and Cl at (0.000, 0.500, 0.000).

Record 6
Material: K2Na3Sb2
Method: DFT, PBE
State: optimized geometry

The value obtained for the density of states at the Fermi level is 6.301 states/eV/cell. Its density is 2.53 g cm⁻³. The energy relative to the elements, uncorrected comes out at -0.35 eV per atom.

The space group is C2/m (No. 12) and the conventional cell measures 12.518, 5.266 and 8.419 Å, with angles of 90.00, 112.27 and 90.00 degrees. The inequivalent atoms are K at (0.159, 0.000, 0.297), Na at (0.000, 0.500, 0.500), Na at (0.146, 0.500, 0.933) and Sb at (0.129, 0.000, 0.718).

Record 7
Material: H2Pd
Method: DFT, PBE
State: optimized geometry

The value obtained for the density of states at the Fermi level is 0.306 states/eV/cell. As for the energy: -11.6 eV/cell. Its density is 7.61 g cm⁻³.

The space group is Pm (No. 6) and the conventional cell measures 2.737, 2.867 and 3.205 Å, with angles of 90.00, 109.70 and 90.00 degrees. The inequivalent atoms are H at (0.000, 0.000, 0.000), H at (0.163, 0.500, 0.476) and Pd at (0.694, 0.000, 0.420).

Record 8
Material: LaHgAsSe2
Method: DFT, PBE
State: optimized geometry

The value obtained for the density of states at the Fermi level is 8.022 states/eV/cell. The calculation puts the energy above the most stable polymorph in this dataset at 203 meV per atom. Its density is 4.66 g cm⁻³. The energy relative to the elements, uncorrected comes out at -0.03 eV per atom.

The space group is P4/mmm (No. 123) and the conventional cell measures 5.769, 5.769 and 6.131 Å, with angles of 90.00, 90.00 and 90.00 degrees. The inequivalent atoms are La at (0.000, 0.000, 0.000), Hg at (0.500, 0.500, 0.500), As at (0.000, 0.000, 0.500) and Se at (0.000, 0.500, 0.000).

Record 9
Material: Cs2TlSn3Pb4
Method: DFT, PBE
State: optimized geometry

The value obtained for the density of states at the Fermi level is 4.294 states/eV/cell. The value obtained for the calculated formation energy is -118 meV per atom. Its density is 7.20 g cm⁻³.

The space group is P-4m2 (No. 115) and the conventional cell measures 5.313, 5.313 and 13.530 Å, with angles of 90.00, 90.00 and 90.00 degrees. The inequivalent atoms are Cs at (0.000, 0.500, 0.250), Tl at (0.000, 0.000, 0.500), Sn at (0.000, 0.500, 0.873), Sn at (0.500, 0.500, 0.500), Pb at (0.000, 0.000, 0.000), Pb at (0.000, 0.500, 0.632) and Pb at (0.500, 0.500, 0.000).

Record 10
Material: K2LaCu
Method: DFT, PBE
State: optimized geometry

The value obtained for the density of states at the Fermi level is 7.779 states/eV/cell. The value obtained for the calculated formation energy is 213 meV per atom. The calculation puts the energy above the most stable polymorph in this dataset at 51 meV per atom. Its density is 2.51 g cm⁻³.

The space group is Cm (No. 8) and the conventional cell measures 7.338, 4.270 and 12.110 Å, with angles of 90.00, 102.12 and 90.00 degrees. The inequivalent atoms are K at (0.000, 0.000, 0.000), K at (0.210, 0.000, 0.643), La at (0.442, 0.000, 0.322) and Cu at (0.233, 0.500, 0.196).

Record 11
Material: PaCuAs
Method: DFT, PBE
State: optimized geometry

The value obtained for the density of states at the Fermi level is 6.686 states/eV/cell. The value obtained for the calculated formation energy is -246 meV per atom. Its density is 10.25 g cm⁻³.

The space group is I4mm (No. 107) and the conventional cell measures 3.758, 3.758 and 8.482 Å, with angles of 90.00, 90.00 and 90.00 degrees. The inequivalent atoms are Pa at (0.000, 0.000, 0.000), Cu at (0.000, 0.000, 0.334) and As at (0.000, 0.000, 0.659).

Record 12
Material: Tl2GeSe3
Method: DFT, PBE
State: optimized geometry

The value obtained for the density of states at the Fermi level is 0.094 states/eV/cell. The calculation puts the energy above the most stable polymorph in this dataset at 69 meV per atom. Its density is 6.62 g cm⁻³. The energy relative to the elements, uncorrected comes out at -0.31 eV per atom.

The space group is C2/c (No. 15) and the conventional cell measures 12.374, 8.243 and 7.203 Å, with angles of 90.00, 101.22 and 90.00 degrees. The inequivalent atoms are Tl at (0.159, 0.150, 0.154), Ge at (0.000, 0.422, 0.750), Se at (0.000, 0.132, 0.750) and Se at (0.135, 0.442, 0.484).

Record 13
Material: Zn5IrRh4
Method: DFT, PBE
State: optimized geometry

The value obtained for the density of states at the Fermi level is 9.968 states/eV/cell. The value obtained for the calculated formation energy is -325 meV per atom. Its density is 11.17 g cm⁻³.

The space group is P4/mmm (No. 123) and the conventional cell measures 3.028, 3.028 and 15.097 Å, with angles of 90.00, 90.00 and 90.00 degrees. The inequivalent atoms are Zn at (0.000, 0.000, 0.000), Zn at (0.000, 0.000, 0.200), Zn at (0.000, 0.000, 0.399), Ir at (0.500, 0.500, 0.500), Rh at (0.500, 0.500, 0.100) and Rh at (0.500, 0.500, 0.300).